5
Lattice="5.662 0.000 0.000 0.000 5.662 0.000 0.000 0.000 5.662" Properties=species:S:1:pos:R:3 comment="LiLa3W (PBE, relaxed)" e_tot_ev_per_atom=-5.4914 e_form_ev_per_fu=2.19 space_group="Pm-3m, No. 221" relative_energy_mev_per_atom=0.0 pbc="T T T"
Li 0.000 0.000 0.000
La 0.000 2.831 2.831
La 2.831 0.000 2.831
La 2.831 2.831 0.000
W 2.831 2.831 2.831

***

11
Lattice="3.519 0.000 0.000 -0.001 5.629 0.000 -1.755 -2.812 17.746" Properties=species:S:1:pos:R:3 comment="Sm4Dy4Er3 (PBE, relaxed)" e_tot_ev_per_atom=-4.5728 e_form_ev_per_fu=0.67 space_group="P-1, No. 2" relative_energy_mev_per_atom=0.0 pbc="T T T"
Sm -0.001 0.003 3.201
Sm 0.002 2.816 8.250
Sm 1.760 0.001 9.496
Sm 1.763 2.814 14.546
Dy -0.002 2.817 1.617
Dy -0.001 0.002 6.391
Dy 1.763 2.815 11.355
Dy 1.765 0.000 16.129
Er 0.005 0.000 12.927
Er 1.759 0.000 0.000
Er 1.758 2.817 4.819